[1]
DFT (PBE) results for Pr3Bi2S after structural relaxation.

a b c (Å): 4.5000 4.5000 9.9770
angles (deg): 103.04 103.04 89.98
Element x y z (fractional)
Pr  0.9342  0.9358  0.8740
Pr  0.2806  0.2820  0.5667
Pr  0.5879  0.5893  0.1813
Bi  0.7644  0.7658  0.5343
Bi  0.1041  0.1054  0.2136
S  0.4342  0.4358  0.8740

## Properties
space-group type	No. 139
total magnetic moment	0.000	μB per atom
formation energy (no corrections)	-118.3	kJ per mole of atoms

[2]
DFT (PBE) results for Pr5BiS4 after structural relaxation.

a b c (Å): 4.1992 7.3049 9.4625
angles (deg): 75.18 77.18 73.30
Element x y z (fractional)
Pr  0.6097  0.6649  0.1157
Pr  0.0000  0.5000  0.5000
Pr  0.7922  0.0972  0.3184
Pr  0.2078  0.9028  0.6816
Pr  0.3903  0.3351  0.8843
S  0.2053  0.3818  0.2077
S  0.7947  0.6182  0.7923
S  0.5935  0.2090  0.6040
S  0.4065  0.7910  0.3960
Bi  0.0000  0.0000  0.0000

## Properties
space-group type	No. 12
total magnetic moment	0.000	μB per atom
formation energy (no corrections)	-169.4	kJ per mole of atoms

[3]
DFT (PBE) results for PrBiS after structural relaxation.

a b c (Å): 4.2764 4.2764 9.6256
angles (deg): 102.83 102.83 90.00
Element x y z (fractional)
Bi  0.0000  0.5000  0.0000
Bi  0.5000  0.0000  0.0000
Pr  0.6587  0.6587  0.3174
Pr  0.3413  0.3413  0.6826
S  0.8141  0.8141  0.6282
S  0.1859  0.1859  0.3718

## Properties
space-group type	No. 139
total magnetic moment	0.000	μB per atom
formation energy (no corrections)	-127.4	kJ per mole of atoms

[4]
DFT (PBE) results for Pr3BiS6 after structural relaxation.

a b c (Å): 8.3673 8.3673 8.3673
angles (deg): 91.20 91.20 91.20
Element x y z (fractional)
Pr  0.5638  0.0732  0.2483
Pr  0.7517  0.4362  0.9268
Pr  0.9268  0.7517  0.4362
Pr  0.0732  0.2483  0.5638
Pr  0.4362  0.9268  0.7517
Pr  0.2483  0.5638  0.0732
S  0.9233  0.6863  0.0947
S  0.4037  0.1827  0.5329
S  0.1827  0.5329  0.4037
S  0.0947  0.9233  0.6863
S  0.8173  0.4671  0.5963
S  0.5963  0.8173  0.4671
S  0.6863  0.0947  0.9233
S  0.0767  0.3137  0.9053
S  0.4671  0.5963  0.8173
S  0.3137  0.9053  0.0767
S  0.9053  0.0767  0.3137
S  0.5329  0.4037  0.1827
Bi  0.5000  0.5000  0.5000
Bi  0.0000  0.0000  0.0000

## Properties
energy above the most stable polymorph in this dataset	0.0000	eV per atom
space-group type	No. 148
total magnetic moment	0.000	μB per atom
formation energy (no corrections)	-154.7	kJ per mole of atoms

Which formula does entry 3 have? PrBiS

Among the records above, which one has the lowest formation energy (no corrections)? Pr5BiS4